[1]
Compound: MgBe3
Source: the Alexandria database
Functional: PBEsol
Structure: relaxed

```
MgBe3
1.0
-1.281 4.026 2.181
1.281 -4.026 2.181
1.281 4.026 -2.181
Mg Be
1 3
Direct
0.000 0.000 0.000 Mg
0.175 0.401 0.774 Be
0.512 0.012 0.500 Be
0.627 0.401 0.226 Be
```

Computed properties:
The value obtained for the total energy is -12.03 eV per formula unit. The energy of formation comes out at 421.1 meV per atom. Its mass density is 1895 kg/m3. The value obtained for the density of states at the Fermi level is 0.61 states/eV/cell. The value obtained for the energy above the most stable polymorph in this dataset is 0.169 eV per atom.


[2]
Compound: MgBe3
Source: the Alexandria database
Functional: PBEsol
Structure: relaxed

```
MgBe3
1.0
4.088 -1.348 0.000
4.088 1.348 0.000
-1.382 0.000 4.189
Mg Be
1 3
Direct
0.000 0.000 0.000 Mg
0.218 0.218 0.667 Be
0.500 0.500 0.500 Be
0.782 0.782 0.333 Be
```

Computed properties:
The value obtained for the total energy is -12.10 eV per formula unit. The energy of formation comes out at 403.6 meV per atom. Its mass density is 1847 kg/m3. The value obtained for the density of states at the Fermi level is 1.07 states/eV/cell. The value obtained for the energy above the most stable polymorph in this dataset is 0.151 eV per atom.


[3]
Compound: Mg3Be2
Source: the Alexandria database
Functional: PBEsol
Structure: relaxed

```
Mg3Be2
1.0
4.301 0.000 0.000
-2.150 3.725 0.000
0.000 0.000 5.254
Mg Be
3 2
Direct
0.000 0.000 0.000 Mg
0.333 0.667 0.356 Mg
0.667 0.333 0.644 Mg
0.333 0.667 0.882 Be
0.667 0.333 0.118 Be
```

Computed properties:
The value obtained for the total energy is -11.80 eV per formula unit. The energy of formation comes out at 271.0 meV per atom. Its mass density is 1794 kg/m3. The value obtained for the density of states at the Fermi level is 0.89 states/eV/cell.


[4]
Compound: MgBe3
Source: the Alexandria database
Functional: PBEsol
Structure: relaxed

```
MgBe3
1.0
5.419 0.000 0.000
-2.710 4.693 0.000
0.000 0.000 3.635
Mg Be
2 6
Direct
0.333 0.667 0.250 Mg
0.667 0.333 0.750 Mg
0.133 0.266 0.750 Be
0.133 0.867 0.750 Be
0.266 0.133 0.250 Be
0.734 0.867 0.750 Be
0.867 0.133 0.250 Be
0.867 0.734 0.250 Be
```

Computed properties:
The value obtained for the total energy is -12.71 eV per formula unit. The energy of formation comes out at 252.3 meV per atom. Its mass density is 1844 kg/m3. The value obtained for the density of states at the Fermi level is 1.27 states/eV/cell. The value obtained for the energy above the most stable polymorph in this dataset is 0.000 eV per atom.